# 1
The following is a DFT calculation (GGA-PBE) of a geometry-optimized NaAsSe2Cl structure.

Computed properties:
- space-group type = P4/mmm
- formation energy from raw total energies (kcal/mol of atoms) = 10.99
- energy relative to the lowest polymorph listed for this composition (eV per atom) = 0.0000
- uncorrected energy (eV/atom) = -2.480
- calculated density (kg/m³) = 3523

Geometry as POSCAR:
```
NaAsSe2Cl
1.0
5.281 0.000 0.000
0.000 5.281 0.000
0.000 0.000 4.924
Na As Se Cl
1 1 2 1
Cartesian
0.000 0.000 0.000
2.640 2.640 0.000
0.000 2.640 2.462
2.640 0.000 2.462
2.640 2.640 2.462
```

***

# 2
The following is a DFT calculation (GGA-PBE) of a geometry-optimized NaAsSe2Cl structure.

Computed properties:
- space-group type = P4/mmm
- formation energy from raw total energies (kcal/mol of atoms) = 19.42
- energy relative to the lowest polymorph listed for this composition (eV per atom) = 0.3658
- uncorrected energy (eV/atom) = -2.115
- calculated density (kg/m³) = 3542

Geometry as POSCAR:
```
NaAsSe2Cl
1.0
5.007 0.000 0.000
0.000 5.007 0.000
0.000 0.000 5.448
Na As Se Cl
1 1 2 1
Cartesian
0.000 0.000 0.000
0.000 0.000 2.724
0.000 2.503 0.000
2.503 0.000 0.000
2.503 2.503 2.724
```

***

# 3
The following is a DFT calculation (GGA-PBE) of a geometry-optimized NaAs2SeCl structure.

Computed properties:
- space-group type = P4/mmm
- formation energy from raw total energies (kcal/mol of atoms) = 21.97
- energy relative to the lowest polymorph listed for this composition (eV per atom) = 0.3684
- uncorrected energy (eV/atom) = -2.237
- calculated density (kg/m³) = 3538

Geometry as POSCAR:
```
NaAs2SeCl
1.0
5.218 0.000 0.000
0.000 5.218 0.000
0.000 0.000 4.950
Na As Se Cl
1 2 1 1
Cartesian
0.000 0.000 0.000
0.000 2.609 0.000
2.609 0.000 0.000
0.000 0.000 2.475
2.609 2.609 2.475
```

***

# 4
The following is a DFT calculation (GGA-PBE) of a geometry-optimized NaTl2AsCl6 structure.

Computed properties:
- space-group type = P-1
- formation energy from raw total energies (kcal/mol of atoms) = -23.84
- uncorrected energy (eV/atom) = -3.212
- calculated density (kg/m³) = 4154

Geometry as POSCAR:
```
NaTl2AsCl6
1.0
7.276 0.000 0.000
3.410 6.444 0.000
3.405 2.070 6.134
Na Tl As Cl
1 2 1 6
Cartesian
0.000 0.000 0.000
3.697 2.232 1.623
10.394 6.282 4.511
7.045 4.257 3.067
5.000 3.622 4.397
7.006 6.556 4.101
5.570 5.070 1.192
8.520 3.445 4.942
7.085 1.959 2.032
9.091 4.892 1.736
```

***

# 5
The following is a DFT calculation (GGA-PBE) of a geometry-optimized NaAsW2Cl structure.

Computed properties:
- space-group type = P4/mmm
- formation energy from raw total energies (kcal/mol of atoms) = 37.91
- uncorrected energy (eV/atom) = -5.100
- calculated density (kg/m³) = 7974

Geometry as POSCAR:
```
NaAsW2Cl
1.0
4.413 0.000 0.000
0.000 4.413 0.000
0.000 0.000 5.357
Na As W Cl
1 1 2 1
Cartesian
0.000 0.000 0.000
2.207 2.207 0.000
0.000 2.207 2.679
2.207 0.000 2.679
2.207 2.207 2.679
```

***

# 6
The following is a DFT calculation (GGA-PBE) of a geometry-optimized NaYAs2Cl structure.

Computed properties:
- space-group type = P4/mmm
- formation energy from raw total energies (kcal/mol of atoms) = 7.06
- uncorrected energy (eV/atom) = -3.480
- calculated density (kg/m³) = 3706

Geometry as POSCAR:
```
NaYAs2Cl
1.0
4.793 0.000 0.000
0.000 4.793 0.000
0.000 0.000 5.795
Na Y As Cl
1 1 2 1
Cartesian
0.000 0.000 0.000
0.000 0.000 2.898
0.000 2.397 0.000
2.397 0.000 0.000
2.397 2.397 2.898
```